a.
DFT (PBE) results for a relaxed SrAsSBr2 crystal.

## Properties
density of states at the Fermi level	3.79	states/eV per cell
magnetic moment	0.174	μB/atom

Cell lengths 5.3299, 5.3299, 4.9892 Å; angles 90.00, 90.00, 90.00 degrees
Last column: nearest neighbours and their distance in Å.
Atoms (fractional coordinates):
Sr 0.0000 0.0000 0.0000  8 Br 3.65, 4 As 3.77
As 0.5000 0.5000 0.0000  2 S 2.49
S 0.5000 0.5000 0.5000  2 As 2.49, 4 Br 2.66
Br 0.0000 0.5000 0.5000  2 S 2.66
Br 0.5000 0.0000 0.5000  2 S 2.66

***

b.
DFT (PBE) results for a relaxed SrAsSBr2 crystal.

## Properties
density of states at the Fermi level	6.18	states/eV per cell
magnetic moment	0.358	μB/atom

Cell lengths 5.6807, 5.6807, 6.6243 Å; angles 90.00, 90.00, 90.00 degrees
Last column: nearest neighbours and their distance in Å.
Atoms (fractional coordinates):
Sr 0.0000 0.0000 0.0000  4 Br 2.84
As 0.0000 0.0000 0.5000  2 Sr 3.31
S 0.5000 0.5000 0.5000  4 As 4.02, 8 Br 4.36
Br 0.0000 0.5000 0.0000  2 Sr 2.84
Br 0.5000 0.0000 0.0000  2 Sr 2.84

***

Which structure is most stable, and how do the rest compare? From most to least stable: a, b.